# Tb3Dy2Er2

Tb3Dy2Er2 after structural relaxation (PBE-GGA, the Alexandria database).

abc: 3.479 8.455 8.821
angles: 118.53 101.37 90.00
Fractional coordinates of all 7 atoms:
Er  0.853  0.674  0.706
Er  0.147  0.326  0.294
Dy  0.435  0.090  0.869
Dy  0.565  0.910  0.131
Tb  0.212  0.800  0.424
Tb  0.000  0.500  0.000
Tb  0.788  0.200  0.576

formation enthalpy at 0 K: 0.115 eV/atom
raw total energy: -31.42 eV/cell
V: 31.73 Å³/atom